First-principles (PBE) data for a relaxed ScTaNi crystal, as listed in Alexandria via LeMat-Bulk. Values from VASP.

Cell and atoms, written as Quantum ESPRESSO input:
```
&SYSTEM
  ibrav = 0, nat = 3, ntyp = 3
/
ATOMIC_SPECIES
Sc 44.96 Sc.upf
Ta 180.95 Ta.upf
Ni 58.69 Ni.upf
CELL_PARAMETERS angstrom
3.033 0.000 0.000
-1.516 2.627 0.000
0.000 0.000 6.538
ATOMIC_POSITIONS angstrom
Sc 0.000 0.000 0.000
Ta 0.000 1.751 2.465
Ni 1.516 0.876 4.379
```

Values from the calculation:
Total energy (Ry per atom): -0.5814
Calculated formation energy (meV per atom): 78
Space-group type: P3m1, No. 156

First-principles (PBE) data for a relaxed In2PtPb crystal, as listed in Alexandria via LeMat-Bulk. Values from VASP.

Cell and atoms, written as Quantum ESPRESSO input:
```
&SYSTEM
  ibrav = 0, nat = 4, ntyp = 3
/
ATOMIC_SPECIES
In 114.82 In.upf
Pt 195.08 Pt.upf
Pb 207.20 Pb.upf
CELL_PARAMETERS angstrom
4.195 -1.918 0.000
4.195 1.918 0.000
-1.691 0.000 6.270
ATOMIC_POSITIONS angstrom
In 1.613 0.000 1.153
In 5.087 0.000 5.117
Pt 4.195 0.000 0.000
Pb -0.845 0.000 3.135
```

Values from the calculation:
Total energy (Ry per atom): -0.2888
Calculated formation energy (meV per atom): -123
Space-group type: C2/m, No. 12

First-principles (PBE) data for a relaxed CaFe2Pt crystal, as listed in Alexandria via LeMat-Bulk. Values from VASP.

Cell and atoms, written as Quantum ESPRESSO input:
```
&SYSTEM
  ibrav = 0, nat = 4, ntyp = 3
/
ATOMIC_SPECIES
Ca 40.08 Ca.upf
Fe 55.84 Fe.upf
Pt 195.08 Pt.upf
CELL_PARAMETERS angstrom
3.939 0.000 0.000
0.000 3.939 0.000
0.000 0.000 4.225
ATOMIC_POSITIONS angstrom
Ca 0.000 0.000 0.000
Fe 0.000 1.970 2.113
Fe 1.970 0.000 2.113
Pt 1.970 1.970 0.000
```

Values from the calculation:
Total energy (Ry per atom): -0.4514
Calculated formation energy (meV per atom): 101
Space-group type: P4/mmm, No. 123

First-principles (PBE) data for a relaxed IrPtNO2 crystal, as listed in Alexandria via LeMat-Bulk. Values from VASP.

Cell and atoms, written as Quantum ESPRESSO input:
```
&SYSTEM
  ibrav = 0, nat = 5, ntyp = 4
/
ATOMIC_SPECIES
Ir 192.22 Ir.upf
Pt 195.08 Pt.upf
N 14.01 N.upf
O 16.00 O.upf
CELL_PARAMETERS angstrom
4.131 0.000 0.000
0.000 4.131 0.000
0.000 0.000 3.720
ATOMIC_POSITIONS angstrom
Ir 0.000 0.000 0.000
Pt 2.065 2.065 1.860
N 2.065 2.065 0.000
O 0.000 2.065 1.860
O 2.065 0.000 1.860
```

Values from the calculation:
Raw formation energy (eV/atom): 1.353
Total energy (Ry per atom): -0.3877
Space-group type: P4/mmm, No. 123

First-principles (PBE) data for a relaxed TaBe3Ir crystal, as listed in Alexandria via LeMat-Bulk. Values from VASP.

Cell and atoms, written as Quantum ESPRESSO input:
```
&SYSTEM
  ibrav = 0, nat = 5, ntyp = 3
/
ATOMIC_SPECIES
Ta 180.95 Ta.upf
Be 9.01 Be.upf
Ir 192.22 Ir.upf
CELL_PARAMETERS angstrom
4.077 0.000 0.000
0.000 4.077 0.000
0.000 0.000 4.077
ATOMIC_POSITIONS angstrom
Ta 0.000 0.000 0.000
Be 0.000 2.038 2.038
Be 2.038 0.000 2.038
Be 2.038 2.038 0.000
Ir 2.038 2.038 2.038
```

Values from the calculation:
Total energy (Ry per atom): -0.4389
Calculated formation energy (meV per atom): 407
Space-group type: Pm-3m, No. 221

First-principles (PBE) data for a relaxed V2CoMo crystal, as listed in Alexandria via LeMat-Bulk. Values from VASP.

Cell and atoms, written as Quantum ESPRESSO input:
```
&SYSTEM
  ibrav = 0, nat = 4, ntyp = 3
/
ATOMIC_SPECIES
V 50.94 V.upf
Co 58.93 Co.upf
Mo 95.94 Mo.upf
CELL_PARAMETERS angstrom
4.190 0.000 0.000
0.000 4.190 0.000
0.000 0.000 3.036
ATOMIC_POSITIONS angstrom
V 0.000 2.095 0.000
V 2.095 0.000 0.000
Co 0.000 0.000 1.518
Mo 2.095 2.095 1.518
```

Values from the calculation:
Total energy (Ry per atom): -0.6720
Calculated formation energy (meV per atom): -100
Space-group type: P4/mmm, No. 123

First-principles (PBE) data for a relaxed NiP2 crystal, as listed in Alexandria via LeMat-Bulk. Values from VASP.

Cell and atoms, written as Quantum ESPRESSO input:
```
&SYSTEM
  ibrav = 0, nat = 3, ntyp = 2
/
ATOMIC_SPECIES
Ni 58.69 Ni.upf
P 30.97 P.upf
CELL_PARAMETERS angstrom
4.218 0.000 0.000
-2.109 3.653 0.000
0.000 0.000 2.499
ATOMIC_POSITIONS angstrom
Ni 0.000 0.000 0.000
P 0.000 2.435 1.249
P 2.109 1.218 1.249
```

Values from the calculation:
Total energy (Ry per atom): -0.3760
Calculated formation energy (meV per atom): 418
Space-group type: P6/mmm, No. 191

First-principles (PBE) data for a relaxed Ca2Mg3Zn4 crystal, as listed in Alexandria via LeMat-Bulk. Values from VASP.

Cell and atoms, written as Quantum ESPRESSO input:
```
&SYSTEM
  ibrav = 0, nat = 18, ntyp = 3
/
ATOMIC_SPECIES
Ca 40.08 Ca.upf
Mg 24.30 Mg.upf
Zn 65.41 Zn.upf
CELL_PARAMETERS angstrom
3.042 -8.619 0.000
3.042 8.619 0.000
0.000 0.000 7.601
ATOMIC_POSITIONS angstrom
Ca 3.042 6.946 6.833
Ca 3.042 1.672 3.032
Ca 3.042 -1.672 4.569
Ca 3.042 -6.946 0.768
Mg 0.000 0.000 3.800
Mg 1.521 4.127 5.701
Mg 1.521 -4.127 1.900
Mg 3.042 0.000 0.000
Mg 4.563 4.127 5.701
Mg 4.563 -4.127 1.900
Zn 3.042 5.846 3.847
Zn 1.521 1.297 5.701
Zn 1.521 -1.297 1.900
Zn 3.042 2.773 0.047
Zn 3.042 -2.773 7.554
Zn 4.563 1.297 5.701
Zn 4.563 -1.297 1.900
Zn 3.042 -5.846 3.754
```

Values from the calculation:
Total energy (Ry per atom): -0.1251
Calculated formation energy (meV per atom): -160
Space-group type: Cmce, No. 64

First-principles (PBE) data for a relaxed RbSrNb crystal, as listed in Alexandria via LeMat-Bulk. Values from VASP.

Cell and atoms, written as Quantum ESPRESSO input:
```
&SYSTEM
  ibrav = 0, nat = 6, ntyp = 3
/
ATOMIC_SPECIES
Rb 85.47 Rb.upf
Sr 87.62 Sr.upf
Nb 92.91 Nb.upf
CELL_PARAMETERS angstrom
3.578 0.000 0.000
-1.266 7.429 0.000
-1.129 -3.721 9.687
ATOMIC_POSITIONS angstrom
Rb 0.000 0.000 0.000
Rb -0.649 3.713 1.428
Sr 1.809 -0.010 4.386
Sr 1.174 3.704 5.783
Nb -0.592 0.938 7.345
Nb 0.632 -0.957 7.341
```

Values from the calculation:
Total energy (Ry per atom): -0.2595
Calculated formation energy (meV per atom): 709
Space-group type: P1, No. 1

First-principles (PBE) data for a relaxed K2HgTe crystal, as listed in Alexandria via LeMat-Bulk. Values from VASP.

Cell and atoms, written as Quantum ESPRESSO input:
```
&SYSTEM
  ibrav = 0, nat = 4, ntyp = 3
/
ATOMIC_SPECIES
K 39.10 K.upf
Hg 200.59 Hg.upf
Te 127.60 Te.upf
CELL_PARAMETERS angstrom
4.916 0.000 0.000
0.000 4.916 0.000
0.000 0.000 6.845
ATOMIC_POSITIONS angstrom
K 0.000 0.000 0.000
K 2.458 2.458 2.675
Hg 2.458 2.458 5.878
Te 0.000 0.000 3.476
```

Values from the calculation:
Raw formation energy (eV/atom): -0.588
Total energy (Ry per atom): -0.1468
Space-group type: P4mm, No. 99

First-principles (PBE) data for a relaxed CaHfAu2 crystal, as listed in Alexandria via LeMat-Bulk. Values from VASP.

Cell and atoms, written as Quantum ESPRESSO input:
```
&SYSTEM
  ibrav = 0, nat = 4, ntyp = 3
/
ATOMIC_SPECIES
Ca 40.08 Ca.upf
Hf 178.49 Hf.upf
Au 196.97 Au.upf
CELL_PARAMETERS angstrom
5.033 0.000 0.000
0.000 5.033 0.000
0.000 0.000 3.347
ATOMIC_POSITIONS angstrom
Ca 0.000 0.000 0.000
Hf 2.516 2.516 0.000
Au 0.000 2.516 1.674
Au 2.516 0.000 1.674
```

Values from the calculation:
Total energy (Ry per atom): -0.3808
Calculated formation energy (meV per atom): -553
Space-group type: P4/mmm, No. 123

First-principles (PBE) data for a relaxed Mn15Nb2Os2 crystal, as listed in Alexandria via LeMat-Bulk. Values from VASP.

Cell and atoms, written as Quantum ESPRESSO input:
```
&SYSTEM
  ibrav = 0, nat = 19, ntyp = 3
/
ATOMIC_SPECIES
Mn 54.94 Mn.upf
Nb 92.91 Nb.upf
Os 190.23 Os.upf
CELL_PARAMETERS angstrom
4.054 2.341 4.075
-4.054 2.341 4.075
0.000 -4.681 4.075
ATOMIC_POSITIONS angstrom
Mn -4.054 0.000 6.113
Mn -1.241 -2.532 4.075
Mn -2.027 1.170 2.038
Mn -2.813 0.192 4.075
Mn -1.979 -1.143 5.952
Mn 1.241 -2.532 4.075
Mn -1.573 2.341 4.075
Mn 0.000 -2.286 6.273
Mn -1.979 1.143 6.273
Mn 2.027 1.170 2.038
Mn 1.979 -1.143 5.952
Mn 0.000 2.286 5.952
Mn 2.813 0.192 4.075
Mn 1.573 2.341 4.075
Mn 1.979 1.143 6.273
Nb 0.000 0.000 4.212
Nb 0.000 0.000 8.014
Os 0.000 0.000 1.223
Os 0.000 0.000 11.002
```

Values from the calculation:
Total energy (Ry per atom): -0.6941
Calculated formation energy (meV per atom): 37
Space-group type: R-3m, No. 166

First-principles (PBE) data for a relaxed PmSmTmAg crystal, as listed in Alexandria via LeMat-Bulk. Values from VASP.

Cell and atoms, written as Quantum ESPRESSO input:
```
&SYSTEM
  ibrav = 0, nat = 4, ntyp = 4
/
ATOMIC_SPECIES
Pm 145.00 Pm.upf
Sm 150.36 Sm.upf
Tm 168.93 Tm.upf
Ag 107.87 Ag.upf
CELL_PARAMETERS angstrom
3.619 0.000 0.000
0.000 3.619 0.000
0.000 0.000 8.840
ATOMIC_POSITIONS angstrom
Pm 0.000 0.000 0.000
Sm 1.809 1.809 6.236
Tm 1.809 1.809 2.528
Ag 0.000 0.000 4.224
```

Values from the calculation:
Total energy (Ry per atom): -0.3181
Calculated formation energy (meV per atom): -130
Space-group type: P4mm, No. 99